This record from Alexandria describes Pu3Bi2N after structural relaxation. The functional is PBE-GGA.

abc: 7.2511 7.2511 6.1717
angles: 90.00 90.00 76.25
Closest atoms and distances in Å follow each position.
Sites, in units of the cell vectors:
Pu (0.1660, 0.8340, 0.7500)  1 N 2.27
Pu (0.3531, 0.3531, 0.0000)  2 N 2.39
Pu (0.3531, 0.3531, 0.5000)  2 N 2.39
Pu (0.6469, 0.6469, 0.0000)  2 N 2.39
Pu (0.6469, 0.6469, 0.5000)  2 N 2.39
Pu (0.8340, 0.1660, 0.2500)  1 N 2.27
Bi (0.0365, 0.6815, 0.2500)  1 Bi 3.22, 7 Pu 3.27-3.48
Bi (0.3185, 0.9635, 0.2500)  1 Bi 3.22, 7 Pu 3.27-3.48
Bi (0.6815, 0.0365, 0.7500)  1 Bi 3.22, 7 Pu 3.27-3.48
Bi (0.9635, 0.3185, 0.7500)  1 Bi 3.22, 7 Pu 3.27-3.48
N (0.4199, 0.5801, 0.7500)  5 Pu 2.27-2.39
N (0.5801, 0.4199, 0.2500)  5 Pu 2.27-2.39

## Properties
- Fermi-level density of states (states/eV/atom) = 3.7883
- E_form (uncorrected) (eV per atom) = -0.600
- polymorph energy (0 for the lowest one) (eV/atom) = 0.000